The following is a DFT calculation (PBE-GGA) of a relaxed structure of TmLuH.

It has space group P4/mmm (No. 123), with a = 3.433 Å, b = 3.433 Å, c = 4.853 Å, α = 90.00°, β = 90.00° and γ = 90.00°. Symmetry generates all atoms from Tm at (0.000, 0.000, 0.000), Lu at (0.500, 0.500, 0.500) and H at (0.000, 0.000, 0.500).

The value obtained for the uncorrected energy is -13.05 eV per cell.


The following is a DFT calculation (PBE-GGA) of a relaxed structure of Co5Ni2Pd.

It has space group Cmcm (No. 63), with a = 2.516 Å, b = 9.354 Å, c = 16.258 Å, α = 90.00°, β = 90.00° and γ = 90.00°. Symmetry generates all atoms from Co at (0.000, 0.012, 0.131), Co at (0.000, 0.131, 0.503), Co at (0.000, 0.410, 0.250), Ni at (0.000, 0.280, 0.120) and Pd at (0.000, 0.329, 0.750).

The formation energy is 0.1784 eV/atom.


The following is a DFT calculation (PBE-GGA) of a relaxed structure of ErPa2FeN5.

It has space group Cmc2_1 (No. 36), with a = 3.340 Å, b = 13.382 Å, c = 10.129 Å, α = 90.00°, β = 90.00° and γ = 90.00°. Symmetry generates all atoms from Er at (0.000, 0.200, 0.000), Pa at (0.000, 0.107, 0.683), Pa at (0.000, 0.138, 0.299), Fe at (0.000, 0.484, 0.460), N at (0.000, 0.038, 0.060), N at (0.000, 0.282, 0.673), N at (0.000, 0.335, 0.351), N at (0.000, 0.371, 0.997) and N at (0.000, 0.481, 0.776).

Its uncorrected formation energy is -1.172 eV per atom.


The following is a DFT calculation (PBE-GGA) of a relaxed structure of AgPb.

It has space group P4_2/mnm (No. 136), with a = 5.937 Å, b = 5.937 Å, c = 5.979 Å, α = 90.00°, β = 90.00° and γ = 90.00°. Symmetry generates all atoms from Ag at (0.191, 0.191, 0.000) and Pb at (0.201, 0.201, 0.500).

The formation energy is 0.2157 eV/atom.


The following is a DFT calculation (PBE-GGA) of a relaxed structure of MgInSb2.

It has space group P4mm (No. 99), with a = 4.248 Å, b = 4.248 Å, c = 6.130 Å, α = 90.00°, β = 90.00° and γ = 90.00°. Symmetry generates all atoms from Mg at (0.000, 0.000, 0.000), In at (0.500, 0.500, 0.541), Sb at (0.000, 0.000, 0.499) and Sb at (0.500, 0.500, 0.035).

Its uncorrected formation energy is -0.051 eV per atom.


| no. | calculated volume (Å³ per cell) |
| --- | --- |
| 1 | 57.2 |
| 2 | 382.6 |
| 3 | 452.7 |
| 4 | 210.8 |
| 5 | 110.6 |